No. 1
## Ta2MnCu (PBE)

Data for a relaxed Ta2MnCu crystal.

Cell: 3.198 3.198 5.952 Å, 90.00 90.00 90.00°
Fractional positions:
Ta 0.000 0.000 0.000
Ta 0.500 0.500 0.294
Mn 0.500 0.500 0.768
Cu 0.000 0.000 0.539

## Properties
The formation energy comes out at 79 meV/atom. The calculation puts the calculated total energy at -9.164 eV per atom. The density of states at the Fermi level comes out at 3.613 states/eV per cell.

No. 2
## Nd3Sm3YS8 (PBE)

Data for a relaxed Nd3Sm3YS8 crystal.

Cell: 8.063 8.063 8.063 Å, 59.79 59.79 59.79°
Fractional positions:
Nd 0.000 0.500 0.500
Nd 0.500 0.000 0.500
Nd 0.500 0.500 0.000
Sm 0.000 0.000 0.500
Sm 0.000 0.500 0.000
Sm 0.500 0.000 0.000
Y 0.500 0.500 0.500
S 0.248 0.248 0.248
S 0.252 0.745 0.745
S 0.255 0.255 0.748
S 0.255 0.748 0.255
S 0.745 0.252 0.745
S 0.745 0.745 0.252
S 0.748 0.255 0.255
S 0.752 0.752 0.752

## Properties
For the formation energy without anion corrections, the calculation gives -2.06 eV/atom. The calculation puts the calculated total energy at -6.586 eV per atom. The density of states at the Fermi level comes out at 7.077 states/eV per cell.

No. 3
## MgGeBi2 (PBE)

Data for a relaxed MgGeBi2 crystal.

Cell: 11.729 11.729 11.729 Å, 16.53 16.53 16.53°
Fractional positions:
Mg 0.000 0.000 0.000
Ge 0.500 0.500 0.500
Bi 0.089 0.089 0.089
Bi 0.911 0.911 0.911

## Properties
The formation energy comes out at 257 meV/atom. The calculation puts the calculated total energy at -3.237 eV per atom. The density of states at the Fermi level comes out at 2.354 states/eV per cell.

Q: The highest calculated total energy belongs to which entry?
A: MgGeBi2